[1]
{
  "formula": "Ca4CdF10",
  "functional": "PBE",
  "state": "optimized geometry",
  "formation_energy_uncorrected_ev_per_fu": -53.9,
  "crystal_system": "trigonal",
  "sg": "R-3m, No. 166",
  "cell": [[-1.064, -0.724, -3.674], [-2.541, -2.849, -0.765], [-13.205, 9.128, -0.037]],
  "species": ["Ca", "F", "F", "F", "Ca", "F", "Ca", "F", "F", "Ca", "F", "F", "Cd", "F", "F"],
  "fractional_positions": [[0.400, 0.400, 0.800], [0.250, 0.250, 0.249], [0.550, 0.550, 0.349], [0.650, 0.650, 0.049], [0.800, 0.800, 0.600], [0.950, 0.950, 0.149], [0.600, 0.600, 0.200], [0.850, 0.850, 0.450], [0.750, 0.750, 0.751], [0.200, 0.200, 0.400], [0.050, 0.050, 0.851], [0.450, 0.450, 0.651], [0.000, 0.000, 0.000], [0.150, 0.150, 0.550], [0.350, 0.350, 0.951]]
}

=====

[2]
{
  "formula": "InP2SeO",
  "functional": "PBE",
  "state": "optimized geometry",
  "formation_energy_uncorrected_ev_per_fu": 3.5,
  "crystal_system": "tetragonal",
  "relative_energy_ev_per_atom": 0.305,
  "sg": "P4/mmm, No. 123",
  "cell": [[5.134, 0.000, 0.000], [0.000, 5.134, 0.000], [0.000, 0.000, 4.017]],
  "species": ["Se", "O", "In", "P", "P"],
  "fractional_positions": [[0.500, 0.500, 0.500], [0.000, 0.000, 0.500], [0.000, 0.000, 0.000], [0.500, 0.000, 0.000], [0.000, 0.500, 0.000]]
}

=====

[3]
{
  "formula": "ErMgPt2",
  "functional": "PBE",
  "state": "optimized geometry",
  "crystal_system": "tetragonal",
  "sg": "P4/mmm, No. 123",
  "delta_e_f_kj_per_mol_fu": -414,
  "cell": [[-2.148, 0.674, -2.472], [-0.594, -3.269, -0.376], [-4.909, 0.389, 4.372]],
  "species": ["Pt", "Pt", "Er", "Mg"],
  "fractional_positions": [[0.000, 0.000, 0.232], [0.000, 0.000, 0.768], [0.500, 0.500, 0.500], [0.500, 0.500, 0.000]]
}

=====

[4]
{
  "formula": "Li2Zn2Ir",
  "functional": "PBE",
  "state": "optimized geometry",
  "crystal_system": "tetragonal",
  "relative_energy_ev_per_atom": 0.230,
  "sg": "P4/mbm, No. 127",
  "delta_e_f_kj_per_mol_fu": -14,
  "cell": [[6.740, 0.000, 0.000], [0.000, 6.740, 0.000], [0.000, 0.000, 2.856]],
  "species": ["Li", "Li", "Li", "Ir", "Zn", "Li", "Zn", "Zn", "Zn", "Ir"],
  "fractional_positions": [[0.870, 0.630, 0.000], [0.370, 0.870, 0.000], [0.130, 0.370, 0.000], [0.500, 0.500, 0.000], [0.671, 0.829, 0.500], [0.630, 0.130, 0.000], [0.329, 0.171, 0.500], [0.829, 0.329, 0.500], [0.171, 0.671, 0.500], [0.000, 0.000, 0.000]]
}

=====

[5]
{
  "formula": "FeIrCl2",
  "functional": "PBE",
  "state": "optimized geometry",
  "formation_energy_uncorrected_ev_per_fu": 0.0,
  "crystal_system": "monoclinic",
  "relative_energy_ev_per_atom": 0.066,
  "sg": "Pm, No. 6",
  "cell": [[3.000, 0.000, 0.000], [0.000, 3.126, 0.000], [0.000, -0.012, 8.711]],
  "species": ["Cl", "Cl", "Fe", "Ir"],
  "fractional_positions": [[0.000, 0.876, 0.924], [0.500, 0.374, 0.332], [0.000, 0.375, 0.535], [0.500, 0.876, 0.709]]
}

=====

no.,calculated total energy (eV per atom)
1,-5.437
2,-3.705
3,-5.631
4,-3.076
5,-5.260